(1)
Below is a relaxed Pm2BePN crystal, with properties calculated at the PBE level.

Unit cell a=6.110 b=3.688 c=8.191 alpha=90.00 beta=109.10 gamma=90.00
Fractional coordinates of all 10 atoms:
1 Pm 0.207 0.250 0.390
2 Pm 0.222 0.250 0.967
3 Pm 0.778 0.750 0.033
4 Pm 0.793 0.750 0.610
5 Be 0.463 0.750 0.249
6 Be 0.537 0.250 0.751
7 P 0.330 0.750 0.704
8 P 0.670 0.250 0.296
9 N 0.183 0.750 0.172
10 N 0.817 0.250 0.828

Results
Its total energy is -33.10 eV/f.u.

***

(2)
Below is a relaxed Pr3BeP2N6 crystal, with properties calculated at the PBE level.

Unit cell a=5.474 b=5.474 c=6.206 alpha=90.00 beta=90.00 gamma=120.00
Fractional coordinates of all 12 atoms:
1 Pr 0.000 0.000 0.000
2 Pr 0.333 0.667 0.654
3 Pr 0.667 0.333 0.346
4 Be 0.000 0.000 0.500
5 P 0.333 0.667 0.200
6 P 0.667 0.333 0.800
7 N 0.172 0.344 0.304
8 N 0.172 0.828 0.304
9 N 0.344 0.172 0.696
10 N 0.656 0.828 0.304
11 N 0.828 0.172 0.696
12 N 0.828 0.656 0.696

Results
Its total energy is -89.36 eV/f.u.

***

(3)
Below is a relaxed BeRePN2 crystal, with properties calculated at the PBE level.

Unit cell a=3.771 b=3.771 c=5.079 alpha=90.00 beta=90.00 gamma=90.00
Fractional coordinates of all 5 atoms:
1 Be 0.000 0.000 0.000
2 Re 0.000 0.000 0.500
3 P 0.500 0.500 0.000
4 N 0.000 0.500 0.500
5 N 0.500 0.000 0.500

Results
Its total energy is -33.27 eV/f.u.

***

(4)
Below is a relaxed BeP2SN crystal, with properties calculated at the PBE level.

Unit cell a=3.944 b=3.944 c=4.214 alpha=90.00 beta=90.00 gamma=90.00
Fractional coordinates of all 5 atoms:
1 Be 0.000 0.000 0.000
2 P 0.000 0.500 0.500
3 P 0.500 0.000 0.500
4 S 0.500 0.500 0.000
5 N 0.500 0.500 0.500

Results
The value obtained for the energy above the most stable polymorph in this dataset is 0.0 meV per atom.